# 1
A relaxed structure of PrAgPd2. Source: Alexandria via LeMat-Bulk, functional PBE-GGA.

The calculation puts the energy relative to the lowest polymorph listed for this composition at 281 meV/atom.

It has space group Pmma (No. 51), with a = 5.451 Å, b = 5.276 Å, c = 13.360 Å, α = 90.00°, β = 90.00° and γ = 90.00°. The asymmetric unit holds Pr at (0.250, 0.000, 0.086), Pr at (0.250, 0.500, 0.404), Ag at (0.250, 0.000, 0.823), Ag at (0.250, 0.500, 0.823), Pd at (0.000, 0.000, 0.500), Pd at (0.000, 0.500, 0.000) and Pd at (0.250, 0.252, 0.642).



# 2
A relaxed structure of Pr3Ag3Pd2. Source: Alexandria via LeMat-Bulk, functional PBE-GGA.

It has space group C2/m (No. 12), with a = 17.669 Å, b = 4.229 Å, c = 5.304 Å, α = 90.00°, β = 98.73° and γ = 90.00°. The asymmetric unit holds Pr at (0.000, 0.000, 0.000), Pr at (0.157, 0.000, 0.596), Ag at (0.000, 0.500, 0.500), Ag at (0.130, 0.500, 0.104) and Pd at (0.236, 0.000, 0.154).



# 3
A relaxed structure of Pr2Ag5Pd4. Source: Alexandria via LeMat-Bulk, functional PBE-GGA.

It has space group Fmmm (No. 69), with a = 5.502 Å, b = 9.202 Å, c = 18.446 Å, α = 90.00°, β = 90.00° and γ = 90.00°. The asymmetric unit holds Pr at (0.000, 0.000, 0.133), Ag at (0.000, 0.000, 0.500), Ag at (0.250, 0.250, 0.000), Ag at (0.250, 0.250, 0.250) and Pd at (0.000, 0.162, 0.373).



# 4
A relaxed structure of Pr4Ag3Pd5. Source: Alexandria via LeMat-Bulk, functional PBE-GGA.

It has space group C2/m (No. 12), with a = 13.674 Å, b = 4.911 Å, c = 10.329 Å, α = 90.00°, β = 124.09° and γ = 90.00°. The asymmetric unit holds Pr at (0.035, 0.000, 0.295), Pr at (0.244, 0.000, 0.731), Ag at (0.000, 0.500, 0.000), Ag at (0.224, 0.000, 0.044), Pd at (0.000, 0.000, 0.000), Pd at (0.071, 0.500, 0.654) and Pd at (0.190, 0.500, 0.503).



# 5
A relaxed structure of PrAgPd2. Source: Alexandria via LeMat-Bulk, functional PBE-GGA.

The calculation puts the energy relative to the lowest polymorph listed for this composition at 73 meV/atom.

It has space group P4/mmm (No. 123), with a = 3.630 Å, b = 3.630 Å, c = 6.129 Å, α = 90.00°, β = 90.00° and γ = 90.00°. The asymmetric unit holds Pr at (0.000, 0.000, 0.000), Ag at (0.000, 0.000, 0.500) and Pd at (0.500, 0.500, 0.268).



# 6
A relaxed structure of Pr6AgPd2. Source: Alexandria via LeMat-Bulk, functional PBE-GGA.

The calculation puts the energy relative to the lowest polymorph listed for this composition at 0 meV/atom.

It has space group Immm (No. 71), with a = 9.774 Å, b = 10.189 Å, c = 10.690 Å, α = 90.00°, β = 90.00° and γ = 90.00°. The asymmetric unit holds Pr at (0.000, 0.192, 0.237), Pr at (0.200, 0.500, 0.172), Pr at (0.216, 0.322, 0.500), Ag at (0.000, 0.000, 0.000), Ag at (0.000, 0.000, 0.500), Pd at (0.000, 0.348, 0.000) and Pd at (0.000, 0.500, 0.370).



ΔE_f in eV/atom, matching the order above: -0.26, -0.40, -0.31, -0.37, -0.47, -0.38